Material: Pr2Nd
Method: DFT, GGA-PBE
State: optimized geometry

Computed properties:
The value obtained for the formation energy from the elements is 244 meV per atom. The total moment is 0.00 Bohr magnetons per cell. The crystal system is cubic. Its distance to the lowest polymorph of the same formula is 0.700 eV/f.u.

Cell: 6.775 6.775 6.775 Å, 60.00 60.00 60.00°
Fractional positions:
Pr1 0.625 0.625 0.125
Pr2 0.625 0.625 0.625
Pr3 0.125 0.625 0.625
Pr4 0.625 0.125 0.625
Nd1 0.250 0.250 0.250
Nd2 0.000 0.000 0.000

---

Material: Pr4Nd3
Method: DFT, GGA-PBE
State: optimized geometry

Computed properties:
The value obtained for the formation energy from the elements is 15 meV per atom. The total moment is 0.00 Bohr magnetons per cell. The crystal system is tetragonal. Its distance to the lowest polymorph of the same formula is 0.000 eV/f.u.

Cell: 3.703 3.703 18.534 Å, 95.73 95.73 90.00°
Fractional positions:
Pr1 0.429 0.429 0.857
Pr2 0.857 0.857 0.713
Pr3 0.571 0.571 0.143
Pr4 0.143 0.143 0.287
Nd1 0.285 0.285 0.571
Nd2 0.715 0.715 0.429
Nd3 0.000 0.000 0.000

---

Material: Pr3Nd4
Method: DFT, GGA-PBE
State: optimized geometry

Computed properties:
The value obtained for the formation energy from the elements is 100 meV per atom. The total moment is 0.00 Bohr magnetons per cell. The crystal system is monoclinic. Its distance to the lowest polymorph of the same formula is 0.591 eV/f.u.

Cell: 6.147 7.153 6.395 Å, 100.74 90.00 115.44°
Fractional positions:
Nd1 0.427 0.854 0.707
Nd2 0.573 0.146 0.293
Nd3 0.857 0.714 0.434
Nd4 0.143 0.286 0.566
Pr1 0.711 0.422 0.861
Pr2 0.000 0.000 0.000
Pr3 0.289 0.578 0.139

---

Material: Pr5Nd4
Method: DFT, GGA-PBE
State: optimized geometry

Computed properties:
The value obtained for the formation energy from the elements is 12 meV per atom. The total moment is 0.00 Bohr magnetons per cell. The crystal system is tetragonal. Its distance to the lowest polymorph of the same formula is 0.000 eV/f.u.

Cell: 5.236 8.276 8.276 Å, 84.26 71.56 71.56°
Fractional positions:
Pr1 0.667 0.000 0.666
Pr2 0.667 0.666 0.000
Pr3 0.333 0.334 0.000
Pr4 0.000 0.000 0.000
Pr5 0.333 0.000 0.334
Nd1 0.000 0.334 0.666
Nd2 0.000 0.666 0.334
Nd3 0.334 0.666 0.666
Nd4 0.666 0.334 0.334

---

Material: PrNd7
Method: DFT, GGA-PBE
State: optimized geometry

Computed properties:
The value obtained for the formation energy from the elements is 7 meV per atom. The total moment is 0.00 Bohr magnetons per cell. The crystal system is cubic.

Cell: 7.371 7.371 7.371 Å, 60.00 60.00 60.00°
Fractional positions:
Nd1 0.000 0.500 0.500
Nd2 0.500 0.000 0.500
Nd3 0.500 0.500 0.500
Nd4 0.500 0.500 0.000
Nd5 0.000 0.000 0.500
Nd6 0.500 0.000 0.000
Nd7 0.000 0.500 0.000
Pr1 0.000 0.000 0.000

---

Material: Pr4Nd3
Method: DFT, GGA-PBE
State: optimized geometry

Computed properties:
The value obtained for the formation energy from the elements is 99 meV per atom. The total moment is 0.00 Bohr magnetons per cell. The crystal system is monoclinic. Its distance to the lowest polymorph of the same formula is 0.584 eV/f.u.

Cell: 6.161 7.164 6.401 Å, 100.80 90.00 115.47°
Fractional positions:
Nd1 0.716 0.432 0.857
Nd2 0.284 0.568 0.143
Nd3 0.000 0.000 0.000
Pr1 0.857 0.713 0.425
Pr2 0.143 0.287 0.575
Pr3 0.430 0.859 0.718
Pr4 0.570 0.141 0.282

---

no.,raw total energy (eV per atom)
1,-4.531
2,-4.759
3,-4.673
4,-4.762
5,-4.762
6,-4.676